# 1
# MnPPt2, optimized geometry, DFT PBE
data_MnPPt2
_chemical_formula_sum 'Mn1 P1 Pt2'
_cell_length_a 3.9166
_cell_length_b 3.9166
_cell_length_c 3.8736
_cell_angle_alpha 90.00
_cell_angle_beta 90.00
_cell_angle_gamma 90.00
_symmetry_space_group_name_H-M 'P 1'
_symmetry_Int_Tables_number 1
loop_
_symmetry_equiv_pos_as_xyz
'x,y,z'
loop_
_atom_site_label
_atom_site_fract_x
_atom_site_fract_y
_atom_site_fract_z
Mn1 0.5000 0.5000 0.5000
P1 0.0000 0.0000 0.5000
Pt1 0.5000 0.0000 0.0000
Pt2 0.0000 0.5000 0.0000
# Fermi-level density of states: 2.675 states/eV per cell
# E_form: -0.112 eV/atom

---

# 2
# KLaGe4, optimized geometry, DFT PBE
data_KLaGe4
_chemical_formula_sum 'K1 La1 Ge4'
_cell_length_a 5.8372
_cell_length_b 5.8372
_cell_length_c 5.8372
_cell_angle_alpha 60.00
_cell_angle_beta 60.00
_cell_angle_gamma 60.00
_symmetry_space_group_name_H-M 'P 1'
_symmetry_Int_Tables_number 1
loop_
_symmetry_equiv_pos_as_xyz
'x,y,z'
loop_
_atom_site_label
_atom_site_fract_x
_atom_site_fract_y
_atom_site_fract_z
Ge1 0.6311 0.6311 0.1066
Ge2 0.6311 0.1066 0.6311
Ge3 0.6311 0.6311 0.6311
Ge4 0.1066 0.6311 0.6311
K1 0.2500 0.2500 0.2500
La1 0.0000 0.0000 0.0000
# E_form: -0.284 eV/atom